A relaxed KMgRh crystal. Source: the Alexandria database, functional PBE-GGA.

Cell: 4.916 4.916 3.276 Å, 90.00 90.00 120.00°
Fractional coordinates of all 3 atoms:
1 K 0.000 0.000 0.000
2 Mg 0.667 0.333 0.499
3 Rh 0.333 0.667 0.501

Computed properties:
The energy of formation comes out at 0.443 eV per atom. The calculation puts the size of the total moment at 0.0000 μB per atom. Its space group is P-6m2 (187).

A relaxed K2MgRh crystal. Source: the Alexandria database, functional PBE-GGA.

Cell: 6.027 6.027 3.687 Å, 90.00 90.00 121.86°
Fractional coordinates of all 4 atoms:
1 K 0.000 0.000 0.000
2 K 0.500 0.500 0.000
3 Mg 0.500 0.000 0.500
4 Rh 0.000 0.500 0.500

Computed properties:
The energy of formation comes out at 0.590 eV per atom. The calculation puts the size of the total moment at 0.0000 μB per atom. Its space group is Cmmm (65).

A relaxed KMgRh2 crystal. Source: the Alexandria database, functional PBE-GGA.

Cell: 2.779 4.125 7.226 Å, 90.00 90.00 90.00°
Fractional coordinates of all 4 atoms:
1 K 0.500 0.500 0.250
2 Mg 0.500 0.500 0.750
3 Rh 0.000 0.000 0.924
4 Rh 0.000 0.000 0.576

Computed properties:
The energy of formation comes out at 0.218 eV per atom. The calculation puts the size of the total moment at 0.0000 μB per atom. Its space group is Pmmm (47).

A relaxed KMgRh2 crystal. Source: the Alexandria database, functional PBE-GGA.

Cell: 3.236 3.236 7.680 Å, 90.00 90.00 90.00°
Fractional coordinates of all 4 atoms:
1 K 0.500 0.500 0.250
2 Mg 0.500 0.500 0.750
3 Rh 0.000 0.000 0.928
4 Rh 0.000 0.000 0.572

Computed properties:
The energy of formation comes out at 0.266 eV per atom. The calculation puts the size of the total moment at 0.2241 μB per atom. Its space group is P4/mmm (123).

A relaxed K2MgRh crystal. Source: the Alexandria database, functional PBE-GGA.

Cell: 11.971 11.971 11.971 Å, 15.81 15.81 15.81°
Fractional coordinates of all 4 atoms:
1 K 0.013 0.013 0.013
2 K 0.487 0.487 0.487
3 Mg 0.250 0.250 0.250
4 Rh 0.750 0.750 0.750

Computed properties:
The energy of formation comes out at 0.617 eV per atom. The calculation puts the size of the total moment at 0.0731 μB per atom. Its space group is R-3m (166).

A relaxed KMg3Rh crystal. Source: the Alexandria database, functional PBE-GGA.

Cell: 5.126 5.126 5.126 Å, 90.00 90.00 90.00°
Fractional coordinates of all 5 atoms:
1 K 0.500 0.500 0.500
2 Rh 0.000 0.000 0.000
3 Mg 0.000 0.500 0.000
4 Mg 0.000 0.000 0.500
5 Mg 0.500 0.000 0.000

Computed properties:
The energy of formation comes out at -0.149 eV per atom. The calculation puts the size of the total moment at 0.0000 μB per atom. Its space group is Pm-3m (221).

A relaxed KMgRh3 crystal. Source: the Alexandria database, functional PBE-GGA.

Cell: 4.779 4.779 4.779 Å, 90.00 90.00 90.00°
Fractional coordinates of all 5 atoms:
1 K 0.500 0.500 0.500
2 Rh 0.000 0.500 0.000
3 Rh 0.000 0.000 0.500
4 Rh 0.500 0.000 0.000
5 Mg 0.000 0.000 0.000

Computed properties:
The energy of formation comes out at 0.991 eV per atom. The calculation puts the size of the total moment at 0.4271 μB per atom. Its space group is Pm-3m (221).

A relaxed KMgRh2 crystal. Source: the Alexandria database, functional PBE-GGA.

Cell: 4.317 4.154 4.154 Å, 90.00 90.00 90.00°
Fractional coordinates of all 4 atoms:
1 K 0.500 0.500 0.000
2 Mg 0.500 0.000 0.500
3 Rh 0.000 0.000 0.000
4 Rh 0.000 0.500 0.500

Computed properties:
The energy of formation comes out at 0.567 eV per atom. The calculation puts the size of the total moment at 0.0009 μB per atom. Its space group is P4/mmm (123).

A relaxed K2MgRh crystal. Source: the Alexandria database, functional PBE-GGA.

Cell: 11.875 11.875 8.759 Å, 47.32 47.32 90.00°
Fractional coordinates of all 8 atoms:
1 K 0.800 0.125 0.250
2 K 0.950 0.625 0.250
3 K 0.375 0.200 0.750
4 K 0.875 0.050 0.750
5 Rh 0.000 0.000 0.000
6 Rh 0.750 0.250 0.500
7 Mg 0.500 0.500 0.000
8 Mg 0.250 0.750 0.500

Computed properties:
The energy of formation comes out at 0.389 eV per atom. The calculation puts the size of the total moment at 0.0000 μB per atom. Its space group is I-42d (122).

A relaxed K2MgRh crystal. Source: the Alexandria database, functional PBE-GGA.

Cell: 6.506 6.506 3.605 Å, 76.22 76.22 126.20°
Fractional coordinates of all 4 atoms:
1 K 0.000 0.000 0.000
2 K 0.500 0.500 0.000
3 Mg 0.500 0.000 0.500
4 Rh 0.000 0.500 0.500

Computed properties:
The energy of formation comes out at 0.574 eV per atom. The calculation puts the size of the total moment at 0.0000 μB per atom. Its space group is C2/m (12).

A relaxed KMgRh2 crystal. Source: the Alexandria database, functional PBE-GGA.

Cell: 9.705 9.705 9.705 Å, 17.46 17.46 17.46°
Fractional coordinates of all 4 atoms:
1 K 0.250 0.250 0.250
2 Mg 0.750 0.750 0.750
3 Rh 0.011 0.011 0.011
4 Rh 0.489 0.489 0.489

Computed properties:
The energy of formation comes out at 0.212 eV per atom. The calculation puts the size of the total moment at 0.1359 μB per atom. Its space group is R-3m (166).

A relaxed KMg3Rh crystal. Source: the Alexandria database, functional PBE-GGA.

Cell: 5.389 5.389 5.389 Å, 90.00 90.00 90.00°
Fractional coordinates of all 5 atoms:
1 K 0.000 0.000 0.000
2 Rh 0.500 0.500 0.500
3 Mg 0.000 0.500 0.000
4 Mg 0.000 0.000 0.500
5 Mg 0.500 0.000 0.000

Computed properties:
The energy of formation comes out at 1.659 eV per atom. The calculation puts the size of the total moment at 0.0000 μB per atom. Its space group is Pm-3m (221).